[1]
Here is a relaxed AgB2Rh3 crystal from Alexandria via LeMat-Bulk. Energies are from PBE-GGA.

```
data_AgB2Rh3
_chemical_formula_sum 'Ag2 B4 Rh6'
_cell_length_a 2.835
_cell_length_b 9.688
_cell_length_c 5.596
_cell_angle_alpha 90.00
_cell_angle_beta 90.00
_cell_angle_gamma 90.00
_space_group_name_H-M_alt 'A m m 2'
_space_group_IT_number 38
loop_
_space_group_symop_operation_xyz
'x,y,z'
'-x,-y,z'
'-x,y,z'
'x,-y,z'
'x,y+1/2,z+1/2'
'-x,-y+1/2,z+1/2'
'-x,y+1/2,z+1/2'
'x,-y+1/2,z+1/2'
loop_
_atom_site_label
_atom_site_type_symbol
_atom_site_fract_x
_atom_site_fract_y
_atom_site_fract_z
Ag1 Ag 0.000 0.000 0.000
B1 B 0.000 0.167 0.501
Rh1 Rh 0.500 0.000 0.466
Rh2 Rh 0.500 0.233 0.767
```

## Properties
- E (eV per atom) = -6.554
- theoretical density (g cm⁻³) = 9.470
- ΔE_f (eV/atom) = -0.1776

[2]
Here is a relaxed AgBRh2 crystal from Alexandria via LeMat-Bulk. Energies are from PBE-GGA.

```
data_AgBRh2
_chemical_formula_sum 'Ag1 B1 Rh2'
_cell_length_a 2.9719
_cell_length_b 2.9719
_cell_length_c 7.0826
_cell_angle_alpha 90.00
_cell_angle_beta 90.00
_cell_angle_gamma 120.00
_space_group_name_H-M_alt 'P -3 m 1'
_space_group_IT_number 164
_space_group_name_Hall '-P 3 2"'
loop_
_atom_site_label
_atom_site_type_symbol
_atom_site_fract_x
_atom_site_fract_y
_atom_site_fract_z
Ag1 Ag 0.0000 0.0000 0.0000
B1 B 0.0000 0.0000 0.5000
Rh1 Rh 0.3333 0.6667 0.6735
```

## Properties
- E (eV per atom) = -6.209
- theoretical density (g cm⁻³) = 9.946
- ΔE_f (eV/atom) = -0.1512

[3]
Here is a relaxed AgBRh3 crystal from Alexandria via LeMat-Bulk. Energies are from PBE-GGA.

```
data_AgBRh3
_chemical_formula_sum 'Ag6 B6 Rh18'
_cell_length_a 5.6071
_cell_length_b 5.6071
_cell_length_c 15.2665
_cell_angle_alpha 90.00
_cell_angle_beta 90.00
_cell_angle_gamma 120.00
_space_group_name_H-M_alt 'R -3 m'
_space_group_IT_number 166
_space_group_name_Hall '-R 3 2"'
loop_
_atom_site_label
_atom_site_type_symbol
_atom_site_fract_x
_atom_site_fract_y
_atom_site_fract_z
Ag1 Ag 0.0000 0.0000 0.0889
B1 B 0.0000 0.0000 0.3317
Rh1 Rh 0.0049 0.5025 0.0911
```

## Properties
- E (eV per atom) = -6.362
- energy above the lowest structure with this stoichiometry (meV/atom) = 0
- theoretical density (g cm⁻³) = 10.245
- ΔE_f (eV/atom) = -0.0449

[4]
Here is a relaxed AgBRh3 crystal from Alexandria via LeMat-Bulk. Energies are from PBE-GGA.

```
data_AgBRh3
_chemical_formula_sum 'Ag1 B1 Rh3'
_cell_length_a 4.811
_cell_length_b 4.811
_cell_length_c 4.811
_cell_angle_alpha 90.00
_cell_angle_beta 90.00
_cell_angle_gamma 90.00
_space_group_name_H-M_alt 'P m -3 m'
_space_group_IT_number 221
_space_group_name_Hall '-P 4 2 3'
loop_
_atom_site_label
_atom_site_type_symbol
_atom_site_fract_x
_atom_site_fract_y
_atom_site_fract_z
Ag1 Ag 0.000 0.000 0.000
B1 B 0.500 0.500 0.500
Rh1 Rh 0.000 0.000 0.500
```

## Properties
- E (eV per atom) = -3.708
- energy above the lowest structure with this stoichiometry (meV/atom) = 2653
- theoretical density (g cm⁻³) = 6.372
- ΔE_f (eV/atom) = 2.6082